Record 1
SrCa2Br after structural relaxation, computed with PBE.

a = 7.211 Å, b = 7.211 Å, c = 7.211 Å
α = 149.01°, β = 124.50°, γ = 64.93°
Positions (direct):
1 Sr 0.000 0.000 0.000
2 Ca 0.295 0.795 0.500
3 Ca 0.705 0.205 0.500
4 Br 0.500 0.500 0.000

Total magnetization ... 0.0 μB per cell
Calculated volume ... 39.35 Å³ per atom
D(E_F) ... 3.1 states/eV/cell
E_form (uncorrected) ... -2.39 eV/f.u.
Crystal system ... orthorhombic



Record 2
SrCa2Br after structural relaxation, computed with PBE.

a = 6.391 Å, b = 6.391 Å, c = 4.127 Å
α = 90.00°, β = 90.00°, γ = 90.00°
Positions (direct):
1 Sr 0.000 0.000 0.000
2 Ca 0.000 0.500 0.500
3 Ca 0.500 0.000 0.500
4 Br 0.500 0.500 0.000

Total magnetization ... 0.0 μB per cell
Calculated volume ... 42.15 Å³ per atom
D(E_F) ... 3.6 states/eV/cell
E_form (uncorrected) ... -1.24 eV/f.u.
Crystal system ... tetragonal



Record 3
SrCa2Br6 after structural relaxation, computed with PBE.

a = 9.569 Å, b = 9.569 Å, c = 8.551 Å
α = 100.04°, β = 100.04°, γ = 26.59°
Positions (direct):
1 Sr 0.000 0.000 0.000
2 Ca 0.331 0.331 0.662
3 Ca 0.669 0.669 0.338
4 Br 0.167 0.167 0.108
5 Br 0.172 0.172 0.568
6 Br 0.490 0.490 0.749
7 Br 0.510 0.510 0.251
8 Br 0.828 0.828 0.432
9 Br 0.833 0.833 0.892

Total magnetization ... 0.0 μB per cell
Calculated volume ... 38.31 Å³ per atom
D(E_F) ... 0.0 states/eV/cell
E_form (uncorrected) ... -18.56 eV/f.u.
Crystal system ... monoclinic



Record 4
Sr2CaBr after structural relaxation, computed with PBE.

a = 7.361 Å, b = 7.361 Å, c = 7.022 Å
α = 118.33°, β = 118.33°, γ = 31.43°
Positions (direct):
1 Sr 0.000 0.000 0.000
2 Sr 0.195 0.195 0.686
3 Ca 0.794 0.794 0.282
4 Br 0.487 0.487 0.599

Total magnetization ... 0.0 μB per cell
Calculated volume ... 43.15 Å³ per atom
D(E_F) ... 3.8 states/eV/cell
E_form (uncorrected) ... -2.46 eV/f.u.
Crystal system ... monoclinic



Number 1: final energy -2.4359 eV per atom. Number 2: final energy -2.1484 eV per atom. Number 3: final energy -3.8089 eV per atom. Number 4: final energy -2.3740 eV per atom.